# DyMgCd2Au4 | Alexandria | PBE-GGA | optimized geometry
# E_tot = -25.35 eV per formula unit
# DFT formation energy = -527 meV per atom
# M_tot = 0.000 Bohr magnetons per cell
data_DyMgCd2Au4
_cell_length_a 4.8305
_cell_length_b 4.8305
_cell_length_c 23.8754
_cell_angle_alpha 90.00
_cell_angle_beta 90.00
_cell_angle_gamma 120.00
_space_group_name_H-M_alt 'R -3 m'
_space_group_IT_number 166
_space_group_name_Hall '-R 3 2"'
loop_
_atom_site_label
_atom_site_type_symbol
_atom_site_fract_x
_atom_site_fract_y
_atom_site_fract_z
_atom_site_occupancy
Dy1 Dy 0.0000 0.0000 0.0000 1
Mg1 Mg 0.0000 0.0000 0.5000 1
Cd1 Cd 0.0000 0.0000 0.2501 1
Au1 Au 0.0000 0.0000 0.1278 1
Au2 Au 0.0000 0.0000 0.3823 1

***

# RbCdInSb2 | Alexandria | PBE-GGA | optimized geometry
# E_form (uncorrected) = -0.262 eV per atom
# E_tot = -14.17 eV per formula unit
# M_tot = 0.000 Bohr magnetons per cell
data_RbCdInSb2
_cell_length_a 4.705
_cell_length_b 4.705
_cell_length_c 15.835
_cell_angle_alpha 90.00
_cell_angle_beta 90.00
_cell_angle_gamma 90.00
_space_group_name_H-M_alt 'I -4 m 2'
_space_group_IT_number 119
_space_group_name_Hall 'I -4 -2'
loop_
_atom_site_label
_atom_site_type_symbol
_atom_site_fract_x
_atom_site_fract_y
_atom_site_fract_z
_atom_site_occupancy
Rb1 Rb 0.000 0.000 0.000 1
Cd1 Cd 0.000 0.500 0.750 1
In1 In 0.000 0.500 0.250 1
Sb1 Sb 0.000 0.000 0.366 1

***

# Ce3PmHo2As6 | Alexandria | PBE-GGA | optimized geometry
# E_tot = -77.32 eV per formula unit
# DFT formation energy = -1476 meV per atom
# M_tot = 3.826 Bohr magnetons per cell
data_Ce3PmHo2As6
_cell_length_a 7.246
_cell_length_b 12.551
_cell_length_c 7.235
_cell_angle_alpha 90.00
_cell_angle_beta 109.52
_cell_angle_gamma 90.00
_space_group_name_H-M_alt 'C 1 2/m 1'
_space_group_IT_number 12
_space_group_name_Hall '-C 2y'
loop_
_atom_site_label
_atom_site_type_symbol
_atom_site_fract_x
_atom_site_fract_y
_atom_site_fract_z
_atom_site_occupancy
Ce1 Ce 0.000 0.000 0.000 1
Ce2 Ce 0.000 0.335 0.000 1
Pm1 Pm 0.000 0.500 0.500 1
Ho1 Ho 0.000 0.167 0.500 1
As1 As 0.244 0.000 0.747 1
As2 As 0.248 0.169 0.252 1

***

# Pr2SmCo | Alexandria | PBE-GGA | optimized geometry
# ΔE to the lowest computed polymorph = 146 meV per atom
# E_tot = -21.03 eV per formula unit
# DFT formation energy = 89 meV per atom
# M_tot = 1.243 Bohr magnetons per cell
data_Pr2SmCo
_cell_length_a 3.546
_cell_length_b 3.546
_cell_length_c 9.138
_cell_angle_alpha 90.00
_cell_angle_beta 90.00
_cell_angle_gamma 90.00
_space_group_name_H-M_alt 'P 4/m m m'
_space_group_IT_number 123
_space_group_name_Hall '-P 4 2'
loop_
_atom_site_label
_atom_site_type_symbol
_atom_site_fract_x
_atom_site_fract_y
_atom_site_fract_z
_atom_site_occupancy
Pr1 Pr 0.000 0.000 0.186 1
Sm1 Sm 0.500 0.500 0.500 1
Co1 Co 0.500 0.500 0.000 1

***

# Ba4CaCu6Hg2O16 | Alexandria | PBE-GGA | optimized geometry
# E_form (uncorrected) = -1.085 eV per atom
# E_tot = -145.66 eV per formula unit
# M_tot = 1.920 Bohr magnetons per cell
data_Ba4CaCu6Hg2O16
_cell_length_a 3.730
_cell_length_b 7.453
_cell_length_c 17.250
_cell_angle_alpha 90.00
_cell_angle_beta 90.00
_cell_angle_gamma 90.00
_space_group_name_H-M_alt 'P m m 2'
_space_group_IT_number 25
_space_group_name_Hall 'P 2 -2'
loop_
_atom_site_label
_atom_site_type_symbol
_atom_site_fract_x
_atom_site_fract_y
_atom_site_fract_z
_atom_site_occupancy
Ba1 Ba 0.000 0.000 0.000 1
Ba2 Ba 0.000 0.000 0.353 1
Ba3 Ba 0.000 0.500 0.361 1
Ba4 Ba 0.000 0.500 0.999 1
Ca1 Ca 0.000 0.500 0.579 1
Cu1 Cu 0.500 0.234 0.488 1
Cu2 Cu 0.500 0.245 0.689 1
Cu3 Cu 0.500 0.250 0.865 1
Hg1 Hg 0.500 0.255 0.179 1
O1 O 0.000 0.249 0.888 1
O2 O 0.000 0.256 0.671 1
O3 O 0.000 0.263 0.475 1
O4 O 0.500 0.000 0.455 1
O5 O 0.500 0.000 0.670 1
O6 O 0.500 0.000 0.888 1
O7 O 0.500 0.251 0.063 1
O8 O 0.500 0.257 0.296 1
O9 O 0.500 0.500 0.486 1
O10 O 0.500 0.500 0.666 1
O11 O 0.500 0.500 0.887 1

***

# NdTm2Mg2 | Alexandria | PBE-GGA | optimized geometry
# ΔE to the lowest computed polymorph = 0 meV per atom
# E_tot = -17.18 eV per formula unit
# DFT formation energy = -56 meV per atom
# M_tot = 0.000 Bohr magnetons per cell
data_NdTm2Mg2
_cell_length_a 3.726
_cell_length_b 27.853
_cell_length_c 5.463
_cell_angle_alpha 90.00
_cell_angle_beta 90.00
_cell_angle_gamma 90.00
_space_group_name_H-M_alt 'C m c m'
_space_group_IT_number 63
_space_group_name_Hall '-C 2c 2'
loop_
_atom_site_label
_atom_site_type_symbol
_atom_site_fract_x
_atom_site_fract_y
_atom_site_fract_z
_atom_site_occupancy
Nd1 Nd 0.000 0.151 0.250 1
Tm1 Tm 0.000 0.044 0.750 1
Tm2 Tm 0.000 0.237 0.750 1
Mg1 Mg 0.000 0.360 0.250 1
Mg2 Mg 0.000 0.449 0.750 1

***

# Tb2Pr2Sc5 | Alexandria | PBE-GGA | optimized geometry
# E_tot = -48.13 eV per formula unit
# DFT formation energy = 261 meV per atom
# M_tot = 0.000 Bohr magnetons per cell
data_Tb2Pr2Sc5
_cell_length_a 14.841
_cell_length_b 8.395
_cell_length_c 8.629
_cell_angle_alpha 90.00
_cell_angle_beta 90.00
_cell_angle_gamma 90.00
_space_group_name_H-M_alt 'I m a 2'
_space_group_IT_number 46
_space_group_name_Hall 'I 2 -2a'
loop_
_atom_site_label
_atom_site_type_symbol
_atom_site_fract_x
_atom_site_fract_y
_atom_site_fract_z
_atom_site_occupancy
Tb1 Tb 0.127 0.007 0.000 1
Pr1 Pr 0.000 0.000 0.359 1
Pr2 Pr 0.250 0.511 0.856 1
Sc1 Sc 0.049 0.167 0.688 1
Sc2 Sc 0.149 0.665 0.168 1
Sc3 Sc 0.250 0.169 0.692 1

***

# RbAlSn | Alexandria | PBE-GGA | optimized geometry
# E_tot = -8.81 eV per formula unit
# DFT formation energy = -33 meV per atom
# M_tot = 0.000 Bohr magnetons per cell
data_RbAlSn
_cell_length_a 4.669
_cell_length_b 4.756
_cell_length_c 9.217
_cell_angle_alpha 90.00
_cell_angle_beta 91.29
_cell_angle_gamma 90.00
_space_group_name_H-M_alt 'P 1 m 1'
_space_group_IT_number 6
_space_group_name_Hall 'P -2y'
loop_
_atom_site_label
_atom_site_type_symbol
_atom_site_fract_x
_atom_site_fract_y
_atom_site_fract_z
_atom_site_occupancy
Rb1 Rb 0.000 0.000 0.000 1
Rb2 Rb 0.489 0.500 0.691 1
Al1 Al 0.001 0.500 0.359 1
Al2 Al 0.977 0.000 0.538 1
Sn1 Sn 0.464 0.000 0.356 1
Sn2 Sn 0.517 0.500 0.157 1

***

# Cs12Rb3F5 | Alexandria | PBE-GGA | optimized geometry
# E_form (uncorrected) = -1.202 eV per atom
# E_tot = -46.55 eV per formula unit
# M_tot = 0.001 Bohr magnetons per cell
data_Cs12Rb3F5
_cell_length_a 21.840
_cell_length_b 21.840
_cell_length_c 21.840
_cell_angle_alpha 90.00
_cell_angle_beta 90.00
_cell_angle_gamma 90.00
_space_group_name_H-M_alt 'I a -3 d'
_space_group_IT_number 230
_space_group_name_Hall '-I 4bd 2c 3'
loop_
_atom_site_label
_atom_site_type_symbol
_atom_site_fract_x
_atom_site_fract_y
_atom_site_fract_z
_atom_site_occupancy
Cs1 Cs 0.029 0.145 0.950 1
Rb1 Rb 0.000 0.250 0.125 1
F1 F 0.000 0.000 0.000 1
F2 F 0.000 0.250 0.375 1

***

# Pm3Sm6In | Alexandria | PBE-GGA | optimized geometry
# ΔE to the lowest computed polymorph = 0 meV per atom
# E_tot = -45.68 eV per formula unit
# DFT formation energy = -37 meV per atom
# M_tot = 0.000 Bohr magnetons per cell
data_Pm3Sm6In
_cell_length_a 11.570
_cell_length_b 3.608
_cell_length_c 16.850
_cell_angle_alpha 90.00
_cell_angle_beta 109.49
_cell_angle_gamma 90.00
_space_group_name_H-M_alt 'P 1 21/m 1'
_space_group_IT_number 11
_space_group_name_Hall '-P 2yb'
loop_
_atom_site_label
_atom_site_type_symbol
_atom_site_fract_x
_atom_site_fract_y
_atom_site_fract_z
_atom_site_occupancy
Pm1 Pm 0.117 0.250 0.467 1
Pm2 Pm 0.130 0.750 0.075 1
Pm3 Pm 0.374 0.250 0.220 1
Sm1 Sm 0.097 0.250 0.254 1
Sm2 Sm 0.137 0.250 0.686 1
Sm3 Sm 0.168 0.250 0.897 1
Sm4 Sm 0.357 0.750 0.617 1
Sm5 Sm 0.370 0.750 0.412 1
Sm6 Sm 0.415 0.750 0.049 1
In1 In 0.359 0.750 0.824 1

***

# Sm2Si4PdRh3 | Alexandria | PBE-GGA | optimized geometry
# E_form (uncorrected) = -1.005 eV per atom
# E_tot = -68.42 eV per formula unit
# M_tot = 0.000 Bohr magnetons per cell
data_Sm2Si4PdRh3
_cell_length_a 4.154
_cell_length_b 4.154
_cell_length_c 9.972
_cell_angle_alpha 90.00
_cell_angle_beta 90.00
_cell_angle_gamma 90.00
_space_group_name_H-M_alt 'P -4 m 2'
_space_group_IT_number 115
_space_group_name_Hall 'P -4 -2'
loop_
_atom_site_label
_atom_site_type_symbol
_atom_site_fract_x
_atom_site_fract_y
_atom_site_fract_z
_atom_site_occupancy
Sm1 Sm 0.000 0.500 0.241 1
Si1 Si 0.000 0.000 0.000 1
Si2 Si 0.000 0.500 0.636 1
Si3 Si 0.500 0.500 0.000 1
Pd1 Pd 0.000 0.000 0.500 1
Rh1 Rh 0.000 0.500 0.875 1
Rh2 Rh 0.500 0.500 0.500 1

***

# YAsIrBr2 | Alexandria | PBE-GGA | optimized geometry
# ΔE to the lowest computed polymorph = 0 meV per atom
# E_form (uncorrected) = -0.020 eV per atom
# E_tot = -23.42 eV per formula unit
# M_tot = 0.000 Bohr magnetons per cell
data_YAsIrBr2
_cell_length_a 5.046
_cell_length_b 5.046
_cell_length_c 4.925
_cell_angle_alpha 90.00
_cell_angle_beta 90.00
_cell_angle_gamma 90.00
_space_group_name_H-M_alt 'P 4/m m m'
_space_group_IT_number 123
_space_group_name_Hall '-P 4 2'
loop_
_atom_site_label
_atom_site_type_symbol
_atom_site_fract_x
_atom_site_fract_y
_atom_site_fract_z
_atom_site_occupancy
Y1 Y 0.000 0.000 0.000 1
As1 As 0.500 0.500 0.000 1
Ir1 Ir 0.500 0.500 0.500 1
Br1 Br 0.000 0.500 0.500 1